1.
Crystalline Dy12Ga6Os at its relaxed geometry. Source: Alexandria, functional GGA-PBE.

a b c (Å): 8.386 8.386 8.386
angles (deg): 99.28 99.28 99.28
Fractional coordinates of all 19 atoms:
Dy 0.818 0.570 0.431
Dy 0.431 0.818 0.570
Dy 0.570 0.431 0.818
Dy 0.182 0.430 0.569
Dy 0.569 0.182 0.430
Dy 0.430 0.569 0.182
Dy 0.070 0.961 0.317
Dy 0.039 0.683 0.930
Dy 0.683 0.930 0.039
Dy 0.930 0.039 0.683
Dy 0.961 0.317 0.070
Dy 0.317 0.070 0.961
Ga 0.697 0.864 0.377
Ga 0.623 0.303 0.136
Ga 0.136 0.623 0.303
Ga 0.303 0.136 0.623
Ga 0.377 0.697 0.864
Ga 0.864 0.377 0.697
Os 0.000 0.000 0.000

Values from the calculation:
Density (g cm⁻³): 7.54
SG: R-3, No. 148
Formation energy from the elements (eV/f.u.): -3.97
Crystal system: trigonal

2.
Crystalline Dy3Ga2Os at its relaxed geometry. Source: Alexandria, functional GGA-PBE.

a b c (Å): 6.869 6.869 6.869
angles (deg): 74.15 74.15 74.15
Fractional coordinates of all 12 atoms:
Dy 0.897 0.603 0.250
Dy 0.250 0.897 0.603
Dy 0.603 0.250 0.897
Dy 0.103 0.397 0.750
Dy 0.750 0.103 0.397
Dy 0.397 0.750 0.103
Ga 0.669 0.669 0.669
Ga 0.831 0.831 0.831
Ga 0.169 0.169 0.169
Ga 0.331 0.331 0.331
Os 0.500 0.500 0.500
Os 0.000 0.000 0.000

Values from the calculation:
Density (g cm⁻³): 9.26
SG: R-3c, No. 167
Formation energy from the elements (eV/f.u.): -1.92
Crystal system: trigonal

3.
Crystalline Dy3Ga9Os2 at its relaxed geometry. Source: Alexandria, functional GGA-PBE.

a b c (Å): 4.282 8.104 8.104
angles (deg): 71.01 74.68 74.68
Fractional coordinates of all 14 atoms:
Dy 0.000 0.000 0.000
Dy 0.701 0.299 0.299
Dy 0.299 0.701 0.701
Ga 0.000 0.500 0.500
Ga 0.653 0.984 0.711
Ga 0.347 0.016 0.289
Ga 0.653 0.711 0.984
Ga 0.347 0.289 0.016
Ga 0.868 0.848 0.416
Ga 0.132 0.152 0.584
Ga 0.868 0.416 0.848
Ga 0.132 0.584 0.152
Os 0.500 0.327 0.673
Os 0.500 0.673 0.327

Values from the calculation:
Density (g cm⁻³): 9.87
SG: Immm, No. 71
Formation energy from the elements (eV/f.u.): -6.66
Crystal system: orthorhombic

4.
Crystalline DyGa8Os2 at its relaxed geometry. Source: Alexandria, functional GGA-PBE.

a b c (Å): 4.801 6.726 6.726
angles (deg): 98.48 98.61 98.61
Fractional coordinates of all 11 atoms:
Dy 0.500 0.000 0.000
Ga 0.897 0.903 0.647
Ga 0.897 0.647 0.903
Ga 0.252 0.629 0.629
Ga 0.500 0.703 0.297
Ga 0.500 0.297 0.703
Ga 0.748 0.371 0.371
Ga 0.103 0.353 0.097
Ga 0.103 0.097 0.353
Os 0.000 0.282 0.718
Os 0.000 0.718 0.282

Values from the calculation:
Density (g cm⁻³): 8.74
SG: C2/m, No. 12
Formation energy from the elements (eV/f.u.): -2.14
Crystal system: monoclinic

5.
Crystalline Dy2Ga5Os at its relaxed geometry. Source: Alexandria, functional GGA-PBE.

a b c (Å): 6.066 6.066 6.066
angles (deg): 91.23 119.29 119.29
Fractional coordinates of all 8 atoms:
Dy 0.500 0.251 0.751
Dy 0.500 0.751 0.251
Ga 0.424 0.709 0.709
Ga 0.000 0.709 0.285
Ga 0.000 0.285 0.709
Ga 0.576 0.285 0.285
Ga 0.000 0.260 0.260
Os 0.000 0.972 0.972

Values from the calculation:
Density (g cm⁻³): 8.99
SG: I4mm, No. 107
Formation energy from the elements (eV/f.u.): -2.78
Crystal system: tetragonal

6.
Crystalline Dy8GaOs2 at its relaxed geometry. Source: Alexandria, functional GGA-PBE.

a b c (Å): 5.485 7.796 7.796
angles (deg): 112.25 97.75 97.75
Fractional coordinates of all 11 atoms:
Os 0.500 0.689 0.317
Os 0.500 0.317 0.689
Ga 0.999 0.003 0.003
Dy 0.588 0.333 0.067
Dy 0.588 0.067 0.333
Dy 0.199 0.379 0.379
Dy 0.000 0.244 0.762
Dy 0.000 0.762 0.244
Dy 0.801 0.626 0.626
Dy 0.413 0.939 0.673
Dy 0.413 0.673 0.939

Values from the calculation:
Density (g cm⁻³): 9.71
SG: Cm, No. 8
Formation energy from the elements (eV/f.u.): -2.24
Crystal system: monoclinic